1.
A relaxed KCr2Co crystal. Source: the Alexandria database, functional PBEsol. Values from VASP.

Structure (Quantum ESPRESSO input):
```
&SYSTEM
  ibrav = 0, nat = 4, ntyp = 3
/
ATOMIC_SPECIES
K 39.10 K.upf
Cr 52.00 Cr.upf
Co 58.93 Co.upf
ATOMIC_POSITIONS angstrom
K 0.000 0.000 0.000
Cr 0.935 2.371 1.141
Cr 0.935 -2.371 1.141
Co 2.694 0.000 0.000
CELL_PARAMETERS angstrom
2.694 -4.741 0.000
2.694 4.741 0.000
-0.824 0.000 2.281
```

Results
Its total magnetization is 4.0 Bohr magnetons per cell. The crystal system is monoclinic. The polymorph energy (0 for the lowest one) is 292.1 kJ/mol of formula units. The density is 5.76 g/cm³. The value obtained for the total energy is -5.75 eV/atom.

2.
A relaxed ZrTaTe4 crystal. Source: the Alexandria database, functional PBEsol. Values from VASP.

Structure (Quantum ESPRESSO input):
```
&SYSTEM
  ibrav = 0, nat = 6, ntyp = 3
/
ATOMIC_SPECIES
Zr 91.22 Zr.upf
Ta 180.95 Ta.upf
Te 127.60 Te.upf
ATOMIC_POSITIONS angstrom
Zr 0.000 0.000 0.000
Ta 0.000 0.000 6.625
Te 0.000 2.161 4.850
Te 0.000 2.161 11.372
Te 1.871 1.080 1.877
Te 1.871 1.080 8.400
CELL_PARAMETERS angstrom
3.742 0.000 0.000
-1.871 3.241 0.000
0.000 0.000 13.250
```

Results
Its total magnetization is 0.0 Bohr magnetons per cell. The crystal system is trigonal. The density is 8.09 g/cm³. The value obtained for the total energy is -6.55 eV/atom.

3.
A relaxed AlSe2Br crystal. Source: the Alexandria database, functional PBEsol. Values from VASP.

Structure (Quantum ESPRESSO input):
```
&SYSTEM
  ibrav = 0, nat = 4, ntyp = 3
/
ATOMIC_SPECIES
Al 26.98 Al.upf
Se 78.96 Se.upf
Br 79.90 Br.upf
ATOMIC_POSITIONS angstrom
Al 0.000 0.000 0.000
Se 0.000 1.914 3.074
Se 1.914 0.000 3.074
Br 1.914 1.914 0.000
CELL_PARAMETERS angstrom
3.829 0.000 0.000
0.000 3.829 0.000
0.000 0.000 6.149
```

Results
Its total magnetization is 0.0 Bohr magnetons per cell. The crystal system is tetragonal. The polymorph energy (0 for the lowest one) is 236.3 kJ/mol of formula units. The density is 4.88 g/cm³. The value obtained for the total energy is -3.40 eV/atom.